(1)
# NpPd4, relaxed, DFT GGA-PBE
# ΔE_f in eV/atom: 0.971
# DOS(E_F) in states/eV/cell: 8.3
data_NpPd4
_chemical_formula_sum 'Np1 Pd4'
_symmetry_space_group_name_H-M 'P m -3 m'
_symmetry_Int_Tables_number 221
_symmetry_space_group_name_Hall '-P 4 2 3'
_cell_length_a 4.954
_cell_length_b 4.954
_cell_length_c 4.954
_cell_angle_alpha 90.00
_cell_angle_beta 90.00
_cell_angle_gamma 90.00
loop_
_atom_site_label
_atom_site_type_symbol
_atom_site_fract_x
_atom_site_fract_y
_atom_site_fract_z
Np1 Np 0.000 0.000 0.000
Pd1 Pd 0.000 0.000 0.500
Pd2 Pd 0.500 0.500 0.500

(2)
# LiMnP, relaxed, DFT GGA-PBE
# ΔE_f in eV/atom: -0.509
# DOS(E_F) in states/eV/cell: 0.7
data_LiMnP
_chemical_formula_sum 'Li4 Mn4 P4'
_symmetry_space_group_name_H-M 'P n m a'
_symmetry_Int_Tables_number 62
_symmetry_space_group_name_Hall '-P 2ac 2n'
_cell_length_a 6.651
_cell_length_b 3.126
_cell_length_c 7.017
_cell_angle_alpha 90.00
_cell_angle_beta 90.00
_cell_angle_gamma 90.00
loop_
_atom_site_label
_atom_site_type_symbol
_atom_site_fract_x
_atom_site_fract_y
_atom_site_fract_z
Li1 Li 0.025 0.250 0.151
Mn1 Mn 0.131 0.250 0.570
P1 P 0.215 0.750 0.363